(1)
Compound: Co2CuAsS
Source: the Alexandria database
Functional: GGA-PBE
Structure: optimized geometry

The structure belongs to space group P4/mmm (No. 123); the cell edges are 4.4418, 4.4418 and 4.4681 Å and the angles 90.00°, 90.00° and 90.00°. Symmetry generates all atoms from Co at (0.0000, 0.5000, 0.0000), Cu at (0.0000, 0.0000, 0.5000), As at (0.0000, 0.0000, 0.0000) and S at (0.5000, 0.5000, 0.5000).

The crystal system is tetragonal.

***

(2)
Compound: Pm4BSe2Cl
Source: the Alexandria database
Functional: GGA-PBE
Structure: optimized geometry

The structure belongs to space group P2/m (No. 10); the cell edges are 7.1296, 4.0584 and 7.1841 Å and the angles 90.00°, 108.63° and 90.00°. Symmetry generates all atoms from Pm at (0.2211, 0.0000, 0.2189), Pm at (0.2351, 0.5000, 0.7754), B at (0.0000, 0.5000, 0.0000), Se at (0.5000, 0.0000, 0.0000), Se at (0.5000, 0.5000, 0.5000) and Cl at (0.0000, 0.0000, 0.5000).

The crystal system is monoclinic.

***

Raw formation energy for the records above, in order: 793, -1360 meV/atom